Below is Fe3CoTe after structural relaxation, with properties calculated at the PBE level.

Cell and atoms, written as extended XYZ:
```
5
Lattice="4.4040 0.0000 0.0000 0.0000 4.4040 0.0000 0.0000 0.0000 4.4040" Properties=species:S:1:pos:R:3 pbc="T T T"
Te 2.2020 2.2020 2.2020
Co 0.0000 0.0000 0.0000
Fe 0.0000 2.2020 0.0000
Fe 0.0000 0.0000 2.2020
Fe 2.2020 0.0000 0.0000
```

Results
- Formation energy (no corrections): 0.7662 eV per atom
- Crystal system: cubic
- Polymorph energy (0 for the lowest one): 0.000 kcal/mol of atoms
- Total magnetization: 2.1037 μB per atom

Below is ScBiN3 after structural relaxation, with properties calculated at the PBE level.

Cell and atoms, written as extended XYZ:
```
5
Lattice="4.1509 0.0000 0.0000 0.0000 4.1509 0.0000 0.0000 0.0000 4.1509" Properties=species:S:1:pos:R:3 pbc="T T T"
Sc 0.0000 0.0000 0.0000
Bi 2.0754 2.0754 2.0754
N 0.0000 2.0754 0.0000
N 0.0000 0.0000 2.0754
N 2.0754 0.0000 0.0000
```

Results
- Formation energy (no corrections): 0.7416 eV per atom
- Crystal system: cubic
- Total magnetization: 0.5518 μB per atom